First-principles (meta-GGA SCAN) data for CdIn2 at its PBEsol-relaxed geometry, as listed in the Alexandria database. Values from VASP.

Geometry as Quantum ESPRESSO input:
```
&SYSTEM
  ibrav = 0, nat = 3, ntyp = 2
/
ATOMIC_SPECIES
Cd 112.41 Cd.upf
In 114.82 In.upf
CELL_PARAMETERS angstrom
-3.008 -0.412 0.100
0.045 -1.558 -5.041
0.614 -3.543 3.862
ATOMIC_POSITIONS angstrom
Cd 0.000 0.000 0.000
In -1.269 -2.425 -2.023
In -1.080 -3.087 0.944
```

Summary:
The space group is P6/mmm. The magnetization is 0.0 μB/f.u. The calculation puts the formation energy at 0.1060 eV/atom.

First-principles (meta-GGA SCAN) data for CdIn3 at its PBEsol-relaxed geometry, as listed in the Alexandria database. Values from VASP.

Geometry as Quantum ESPRESSO input:
```
&SYSTEM
  ibrav = 0, nat = 8, ntyp = 2
/
ATOMIC_SPECIES
In 114.82 In.upf
Cd 112.41 Cd.upf
CELL_PARAMETERS angstrom
-5.133 1.336 0.075
-0.297 -0.845 -5.228
-1.714 -6.649 1.172
ATOMIC_POSITIONS angstrom
In -0.666 -2.334 -4.006
In -2.766 0.100 -3.474
In -1.535 -5.704 -3.412
In -3.054 -1.168 -0.598
In -3.899 -4.446 -0.020
In -0.954 -3.602 -1.131
Cd -0.094 -0.268 -1.659
Cd -3.626 -3.234 -2.945
```

Summary:
The space group is Pmmn. The magnetization is 0.0 μB/f.u. The calculation puts the formation energy at 0.0887 eV/atom.

First-principles (meta-GGA SCAN) data for Cd2In3 at its PBEsol-relaxed geometry, as listed in the Alexandria database. Values from VASP.

Geometry as Quantum ESPRESSO input:
```
&SYSTEM
  ibrav = 0, nat = 5, ntyp = 2
/
ATOMIC_SPECIES
In 114.82 In.upf
Cd 112.41 Cd.upf
CELL_PARAMETERS angstrom
-1.763 -2.094 2.209
1.738 -2.342 1.966
1.092 6.132 9.486
ATOMIC_POSITIONS angstrom
In 0.000 0.000 0.000
In 0.427 1.532 4.594
In 0.640 0.163 9.067
Cd 0.865 3.140 9.268
Cd 0.202 -1.445 4.393
```

Summary:
The energy above the most stable polymorph in this dataset comes out at 0.0 meV per atom. The space group is R-3m. The magnetization is 0.0 μB/f.u. The calculation puts the formation energy at 0.0456 eV/atom.

- Look up the magnetization of the first one.
  0.0 μB/f.u.